# Rb3Er2CrSe6 | the Alexandria database | PBE | relaxed
# E_form (uncorrected)   -31.83 kcal/mol of atoms
# Crystal system   monoclinic
# DFT total energy   -4.927 eV per atom
data_Rb3Er2CrSe6
_cell_length_a 7.099
_cell_length_b 12.304
_cell_length_c 8.301
_cell_angle_alpha 90.00
_cell_angle_beta 106.67
_cell_angle_gamma 90.00
_symmetry_space_group_name_H-M 'C 1 2/m 1'
_symmetry_Int_Tables_number 12
loop_
_symmetry_equiv_pos_as_xyz
'x,y,z'
'-x,-y,-z'
'-x,y,-z'
'x,-y,z'
'x+1/2,y+1/2,z'
'-x+1/2,-y+1/2,-z'
'-x+1/2,y+1/2,-z'
'x+1/2,-y+1/2,z'
loop_
_atom_site_label
_atom_site_fract_x
_atom_site_fract_y
_atom_site_fract_z
_atom_site_occupancy
Rb1 0.000 0.000 0.000 1
Rb2 0.000 0.328 0.000 1
Er1 0.000 0.166 0.500 1
Cr1 0.000 0.500 0.500 1
Se1 0.217 0.345 0.686 1
Se2 0.248 0.500 0.312 1